1.
ThAlSn2: relaxed, GGA-PBE.

a b c (Å): 4.7002 4.7002 4.5632
angles (deg): 90.00 90.00 90.00
Closest atoms and distances in Å follow each position.
Space group P4/mmm (No. 123)
Inequivalent atoms, fractional coordinates:
Th  0.0000  0.0000  0.0000  8 Sn 3.28, 4 Al 3.32
Al  0.5000  0.5000  0.0000  8 Sn 3.28, 4 Th 3.32
Sn  0.0000  0.5000  0.5000  4 Th 3.28, 4 Al 3.28, 4 Sn 3.32

Results
VASP energy	-5.1777	eV per atom

---

2.
Th2AlSn: relaxed, GGA-PBE.

a b c (Å): 4.3333 4.3333 23.0500
angles (deg): 90.00 90.00 120.00
Closest atoms and distances in Å follow each position.
Space group R-3m (No. 166, hexagonal axes)
Inequivalent atoms, fractional coordinates:
Th  0.0000  0.0000  0.2487  3 Al 3.14, 3 Sn 3.17
Al  0.0000  0.0000  0.5000  6 Th 3.14
Sn  0.0000  0.0000  0.0000  6 Th 3.17

Results
VASP energy	-5.8256	eV per atom
offset from the most stable computed form	277.8	meV/atom

---

3.
Th2AlSn: relaxed, GGA-PBE.

a b c (Å): 4.8997 4.8997 4.5130
angles (deg): 90.00 90.00 90.00
Closest atoms and distances in Å follow each position.
Space group P4/mmm (No. 123)
Inequivalent atoms, fractional coordinates:
Th  0.0000  0.5000  0.0000  4 Sn 3.33, 4 Al 3.33, 4 Th 3.46
Al  0.0000  0.0000  0.5000  8 Th 3.33, 4 Sn 3.46
Sn  0.5000  0.5000  0.5000  8 Th 3.33, 4 Al 3.46

Results
VASP energy	-6.0148	eV per atom
offset from the most stable computed form	88.6	meV/atom

---

4.
ThAlSn2: relaxed, GGA-PBE.

a b c (Å): 3.3189 3.3189 33.8611
angles (deg): 90.00 90.00 120.00
Closest atoms and distances in Å follow each position.
Space group R-3m (No. 166, hexagonal axes)
Inequivalent atoms, fractional coordinates:
Th  0.0000  0.0000  0.0000  6 Th 3.32, 6 Sn 3.41
Al  0.0000  0.0000  0.5000  2 Sn 2.83
Sn  0.0000  0.0000  0.4166  1 Al 2.83

Results
VASP energy	-4.7659	eV per atom

---

5.
Th7Al5Sn: relaxed, GGA-PBE.

a b c (Å): 6.0625 10.6676 10.9620
angles (deg): 90.00 90.00 90.00
Closest atoms and distances in Å follow each position.
Space group Imm2 (No. 44)
Inequivalent atoms, fractional coordinates:
Th  0.0000  0.0000  0.0000  1 Sn 3.42, 4 Al 3.49, 8 Th 3.59-3.69
Th  0.0000  0.0000  0.3894  6 Al 3.10-3.16, 1 Sn 3.27
Th  0.0000  0.3267  0.5911  5 Al 3.21-3.27, 3 Th 3.46-3.49
Th  0.0000  0.3343  0.0776  5 Al 3.12-3.40, 3 Th 3.23-3.49
Th  0.0000  0.5000  0.3239  4 Al 3.09, 2 Th 3.23, 2 Sn 3.38
Al  0.0000  0.5000  0.8305  4 Al 3.05, 6 Th 3.10-3.23
Al  0.2395  0.2483  0.8404  3 Al 2.90-3.16, 4 Th 3.09-3.21
Sn  0.0000  0.0000  0.6880  6 Th 3.27-3.64, 4 Al 3.45

Results
VASP energy	-5.9058	eV per atom

---

6.
Ti2AlSn: relaxed, GGA-PBE.

a b c (Å): 7.0852 3.1870 13.5132
angles (deg): 90.00 90.00 90.00
Closest atoms and distances in Å follow each position.
Space group Pnma (No. 62)
Inequivalent atoms, fractional coordinates:
Ti  0.1544  0.2500  0.1987  1 Al 2.74, 2 Ti 2.81, 4 Sn 2.84-2.89
Ti  0.1604  0.7500  0.0277  4 Ti 2.81-2.87, 3 Al 2.85-3.00, 3 Sn 2.91
Al  0.0247  0.7500  0.5851  4 Ti 2.74-3.00, 2 Al 2.82
Sn  0.1743  0.2500  0.8476  7 Ti 2.84-2.91, 2 Al 3.09

Results
VASP energy	-6.0200	eV per atom

---

7.
TiAl2Sn: relaxed, GGA-PBE.

a b c (Å): 7.6739 7.6739 5.5481
angles (deg): 90.00 90.00 90.00
Closest atoms and distances in Å follow each position.
Space group I-42d (No. 122)
Inequivalent atoms, fractional coordinates:
Ti  0.0000  0.0000  0.0000  2 Sn 2.77, 4 Al 2.79
Al  0.2489  0.2500  0.1250  2 Al 2.77, 2 Ti 2.79, 2 Sn 2.81
Sn  0.0000  0.0000  0.5000  2 Ti 2.77, 4 Al 2.81

Results
VASP energy	-4.6130	eV per atom

---

8.
Ti5AlSn2: relaxed, GGA-PBE.

a b c (Å): 4.5118 13.2551 11.4526
angles (deg): 90.00 90.00 90.00
Closest atoms and distances in Å follow each position.
Space group Cmcm (No. 63)
Inequivalent atoms, fractional coordinates:
Ti  0.0000  0.1159  0.1288  6 Ti 2.78-2.95, 2 Sn 2.85-2.86, 1 Al 2.88
Ti  0.0000  0.3027  0.0081  6 Ti 2.66-2.96, 1 Al 2.77, 2 Sn 2.90
Ti  0.0000  0.3044  0.7500  2 Al 2.69, 6 Ti 2.85-2.96
Al  0.0000  0.3064  0.2500  6 Ti 2.69-2.88, 4 Sn 2.98
Sn  0.0000  0.0994  0.6197  6 Ti 2.85-3.10, 2 Al 2.98, 1 Sn 2.99

Results
VASP energy	-6.2572	eV per atom

---

9.
Ti6AlSn3: relaxed, GGA-PBE.

a b c (Å): 8.3812 13.8784 6.7966
angles (deg): 90.00 90.00 90.00
Closest atoms and distances in Å follow each position.
Space group Cmc2_1 (No. 36)
Inequivalent atoms, fractional coordinates:
Ti  0.0000  0.0579  0.0000  1 Al 2.71, 2 Ti 2.90, 4 Sn 2.90-2.93
Ti  0.0000  0.2658  0.7040  6 Ti 2.71-2.81, 3 Sn 2.81-2.85, 1 Al 2.92
Ti  0.1948  0.4181  0.7731  2 Ti 2.71-2.83, 4 Sn 2.78-3.02, 1 Al 2.89
Ti  0.2123  0.2225  0.9945  4 Ti 2.72-2.90, 2 Sn 2.82-2.86, 2 Al 2.88-3.04
Al  0.0000  0.1772  0.3147  6 Ti 2.71-2.92
Sn  0.0000  0.4131  0.4197  7 Ti 2.81-3.10, 2 Sn 3.11
Sn  0.1956  0.0992  0.6581  7 Ti 2.78-2.93, 1 Al 3.05, 1 Sn 3.11

Results
VASP energy	-6.4419	eV per atom

---

10.
TiAlSn3: relaxed, GGA-PBE.

a b c (Å): 5.2047 5.2047 5.2047
angles (deg): 90.00 90.00 90.00
Closest atoms and distances in Å follow each position.
Space group Pm-3m (No. 221)
Inequivalent atoms, fractional coordinates:
Ti  0.0000  0.0000  0.0000  12 Sn 3.68
Al  0.5000  0.5000  0.5000  6 Sn 2.60
Sn  0.0000  0.5000  0.5000  2 Al 2.60

Results
VASP energy	-3.9087	eV per atom
offset from the most stable computed form	483.8	meV/atom

---

11.
Ti2AlSn: relaxed, GGA-PBE.

a b c (Å): 3.5302 3.5302 5.7585
angles (deg): 90.00 90.00 90.00
Closest atoms and distances in Å follow each position.
Space group P4/mmm (No. 123)
Inequivalent atoms, fractional coordinates:
Ti  0.0000  0.0000  0.2443  2 Ti 2.81-2.94, 4 Al 2.87, 4 Sn 2.90
Al  0.5000  0.5000  0.0000  8 Ti 2.87, 2 Sn 2.88
Sn  0.5000  0.5000  0.5000  2 Al 2.88, 8 Ti 2.90

Results
VASP energy	-6.0744	eV per atom

---

12.
Ti2AlSn: relaxed, GGA-PBE.

a b c (Å): 4.0985 4.0985 4.1957
angles (deg): 90.00 90.00 90.00
Closest atoms and distances in Å follow each position.
Space group P4/mmm (No. 123)
Inequivalent atoms, fractional coordinates:
Ti  0.0000  0.5000  0.0000  4 Ti 2.90, 4 Sn 2.93, 4 Al 2.93
Al  0.0000  0.0000  0.5000  4 Sn 2.90, 8 Ti 2.93
Sn  0.5000  0.5000  0.5000  4 Al 2.90, 8 Ti 2.93

Results
VASP energy	-6.2133	eV per atom